1.
The following is a PBE calculation of an optimized crystal structure of BiPb2O, from Alexandria via LeMat-Bulk.

Geometry as POSCAR:
```
BiPb2O
1.0
3.5340 0.0000 0.0000
1.7670 3.0605 0.0000
1.7670 1.0202 9.2963
Pb Bi O
2 1 1
Direct
0.7247 0.7247 0.8259
0.2753 0.2753 0.1741
0.5000 0.5000 0.5000
0.0000 0.0000 0.0000
```

## Properties
Total DFT energy (no corrections) = -4.462 eV per atom
Volume = 25.1 A^3/atom
Relative energy among the computed polymorphs = 0.0000 eV per atom
Uncorrected formation energy = -398 meV/atom
Fermi-level density of states = 1.39 states/eV/f.u.

2.
The following is a PBE calculation of an optimized crystal structure of Bi10Pb6O21, from Alexandria via LeMat-Bulk.

Geometry as POSCAR:
```
Bi10Pb6O21
1.0
7.3411 0.0392 0.0117
-3.5877 6.7438 0.0054
-1.8366 -1.6819 14.2040
Bi O Pb
10 21 6
Direct
0.2634 0.4918 0.6763
0.0694 0.7724 0.0209
0.7366 0.5082 0.3237
0.5009 0.3143 0.0751
0.5130 0.2333 0.5455
0.3595 0.0755 0.8132
0.6405 0.9245 0.1868
0.4870 0.7667 0.4545
0.9306 0.2276 0.9791
0.4991 0.6857 0.9249
0.2186 0.2477 0.5743
0.6913 0.9582 0.0276
0.6716 0.2634 0.8795
0.5384 0.1731 0.1957
0.7139 0.0532 0.5306
0.1862 0.2520 0.1032
0.1051 0.5891 0.9166
0.8138 0.7480 0.8968
0.0000 0.5000 0.5000
0.3087 0.0418 0.9724
0.7814 0.7523 0.4257
0.5842 0.5917 0.2101
0.8949 0.4109 0.0834
0.4158 0.4083 0.7899
0.4636 0.3197 0.3782
0.5061 0.9099 0.3233
0.2861 0.9468 0.4694
0.5364 0.6803 0.6218
0.4939 0.0901 0.6767
0.3284 0.7366 0.1205
0.4616 0.8269 0.8043
0.9800 0.2157 0.4457
0.2709 0.0194 0.2925
0.1838 0.4769 0.2055
0.7291 0.9806 0.7075
0.0200 0.7843 0.5543
0.8162 0.5231 0.7945
```

## Properties
Total DFT energy (no corrections) = -5.638 eV per atom
Volume = 19.1 A^3/atom
Uncorrected formation energy = -1173 meV/atom
Fermi-level density of states = 0.00 states/eV/f.u.

3.
The following is a PBE calculation of an optimized crystal structure of Bi2Pb2O5, from Alexandria via LeMat-Bulk.

Geometry as POSCAR:
```
Bi2Pb2O5
1.0
-1.0676 -0.4997 6.3175
-2.1968 -6.0213 -0.8475
8.9311 0.4553 -1.7234
Bi O Pb
4 10 4
Direct
0.3731 0.9090 0.7574
0.1157 0.6515 0.2426
0.8843 0.4090 0.7574
0.6269 0.1515 0.2426
0.5612 0.2078 0.7036
0.0917 0.1594 0.8337
0.3576 0.0042 0.2964
0.9083 0.3257 0.1663
0.7580 0.8257 0.1663
0.2420 0.6594 0.8337
0.8692 0.2577 0.5000
0.1308 0.7577 0.5000
0.4388 0.5042 0.2964
0.6424 0.7078 0.7036
0.0000 0.0021 0.0000
0.7142 0.8186 0.5000
0.5000 0.5021 0.0000
0.2858 0.3186 0.5000
```

## Properties
Total DFT energy (no corrections) = -5.497 eV per atom
Volume = 18.2 A^3/atom
Uncorrected formation energy = -1056 meV/atom

4.
The following is a PBE calculation of an optimized crystal structure of Bi2PbO6, from Alexandria via LeMat-Bulk.

Geometry as POSCAR:
```
Bi2PbO6
1.0
5.2970 0.0000 0.0000
0.0000 8.7784 -5.0682
0.0000 0.0000 10.1364
O Bi Pb
18 6 3
Direct
0.7686 0.0844 0.5422
0.2087 0.2140 0.7860
0.7913 0.7860 0.2140
0.8027 0.7705 0.8852
0.7686 0.4578 0.9156
0.2314 0.5422 0.0844
0.2314 0.5422 0.4578
0.2314 0.9156 0.4578
0.7913 0.4280 0.2140
0.1973 0.2295 0.1148
0.1973 0.8852 0.7705
0.2087 0.2140 0.4280
0.7686 0.4578 0.5422
0.8027 0.1148 0.8852
0.1973 0.8852 0.1148
0.7913 0.7860 0.5720
0.2087 0.5720 0.7860
0.8027 0.1148 0.2295
0.0000 0.0000 0.3398
0.0000 0.6602 0.6602
0.0000 0.3398 0.0000
0.0000 0.0000 0.6602
0.0000 0.6602 0.0000
0.0000 0.3398 0.3398
0.4771 0.3333 0.6667
0.5229 0.6667 0.3333
0.0000 0.0000 0.0000
```

## Properties
Total DFT energy (no corrections) = -5.420 eV per atom
Volume = 17.5 A^3/atom
Uncorrected formation energy = -840 meV/atom
Fermi-level density of states = 1.78 states/eV/f.u.

5.
The following is a PBE calculation of an optimized crystal structure of BiPb2O, from Alexandria via LeMat-Bulk.

Geometry as POSCAR:
```
BiPb2O
1.0
3.3872 0.0000 0.0000
0.0000 3.3872 0.0000
0.0000 0.0000 8.4718
Pb O Bi
2 1 1
Direct
0.0000 0.0000 0.8164
0.0000 0.0000 0.1836
0.5000 0.5000 0.0000
0.5000 0.5000 0.5000
```

## Properties
Total DFT energy (no corrections) = -4.286 eV per atom
Volume = 24.3 A^3/atom
Relative energy among the computed polymorphs = 0.1761 eV per atom
Uncorrected formation energy = -222 meV/atom
Fermi-level density of states = 1.02 states/eV/f.u.

6.
The following is a PBE calculation of an optimized crystal structure of Bi12PbO19, from Alexandria via LeMat-Bulk.

Geometry as POSCAR:
```
Bi12PbO19
1.0
9.1042 -0.0185 -0.0326
-3.1040 8.5587 -0.0326
-3.1040 -4.4180 7.3304
O Bi Pb
19 12 1
Direct
0.7394 0.6262 0.3679
0.3679 0.7394 0.6262
0.1134 0.7639 0.3772
0.7639 0.3772 0.1134
0.0076 0.0314 0.2405
0.2405 0.0076 0.0314
0.2468 0.3684 0.6315
0.3772 0.1134 0.7639
0.8859 0.2553 0.6507
0.6507 0.8859 0.2553
0.0047 0.6294 0.0052
0.2553 0.6507 0.8859
0.6262 0.3679 0.7394
0.3684 0.6315 0.2468
0.3938 0.3938 0.3938
0.0314 0.2405 0.0076
0.6294 0.0052 0.0047
0.0052 0.0047 0.6294
0.6315 0.2468 0.3684
0.6876 0.8347 0.4748
0.4748 0.6876 0.8347
0.4878 0.3153 0.1942
0.3153 0.1942 0.4878
0.1554 0.8485 0.6512
0.8250 0.1440 0.2997
0.2997 0.8250 0.1440
0.8347 0.4748 0.6876
0.1440 0.2997 0.8250
0.1942 0.4878 0.3153
0.8485 0.6512 0.1554
0.6512 0.1554 0.8485
0.9600 0.9600 0.9600
```

## Properties
Total DFT energy (no corrections) = -5.705 eV per atom
Volume = 17.8 A^3/atom
Uncorrected formation energy = -1190 meV/atom
Fermi-level density of states = 0.00 states/eV/f.u.

7.
The following is a PBE calculation of an optimized crystal structure of Bi3PbO6, from Alexandria via LeMat-Bulk.

Geometry as POSCAR:
```
Bi3PbO6
1.0
-5.2940 0.0403 2.6874
1.9249 -6.3640 3.8874
2.4314 5.5913 4.7057
O Bi Pb
12 6 2
Direct
0.1995 0.0637 0.5894
0.2713 0.3726 0.3272
0.1995 0.4106 0.9363
0.7713 0.6274 0.6728
0.2713 0.6728 0.6274
0.7713 0.3272 0.3726
0.8336 0.9710 0.0290
0.6995 0.9363 0.4106
0.6699 0.2254 0.7746
0.3336 0.0290 0.9710
0.1699 0.7746 0.2254
0.6995 0.5894 0.0637
0.4996 0.9227 0.6717
0.9996 0.6717 0.9227
0.4996 0.3283 0.0773
0.0228 0.5912 0.4088
0.5228 0.4088 0.5912
0.9996 0.0773 0.3283
0.5183 0.8520 0.1480
0.0183 0.1480 0.8520
```

## Properties
Total DFT energy (no corrections) = -5.590 eV per atom
Volume = 17.2 A^3/atom
Relative energy among the computed polymorphs = 0.0093 eV per atom
Uncorrected formation energy = -1080 meV/atom
Fermi-level density of states = 1.65 states/eV/f.u.

8.
The following is a PBE calculation of an optimized crystal structure of Bi3PbO6, from Alexandria via LeMat-Bulk.

Geometry as POSCAR:
```
Bi3PbO6
1.0
-1.1175 4.6830 -3.4547
-6.3343 -0.6959 1.1057
0.6385 5.1942 6.9267
Pb O Bi
2 12 6
Direct
0.5000 0.5000 0.5000
0.0000 0.0000 0.0000
0.6626 0.4235 0.2443
0.8367 0.6715 0.9298
0.8374 0.9235 0.2557
0.8484 0.6809 0.5719
0.1626 0.0765 0.7443
0.1516 0.3191 0.4281
0.1633 0.3285 0.0702
0.3367 0.8285 0.4298
0.6633 0.1715 0.5702
0.6516 0.1809 0.9281
0.3484 0.8191 0.0719
0.3374 0.5765 0.7557
0.4888 0.0308 0.2501
0.5000 0.5000 0.0000
0.0112 0.5308 0.2499
0.9888 0.4692 0.7501
0.0000 0.0000 0.5000
0.5112 0.9692 0.7499
```

## Properties
Total DFT energy (no corrections) = -5.600 eV per atom
Volume = 16.6 A^3/atom
Relative energy among the computed polymorphs = 0.0000 eV per atom
Uncorrected formation energy = -1090 meV/atom
Fermi-level density of states = 3.76 states/eV/f.u.

9.
The following is a PBE calculation of an optimized crystal structure of BiPb2O, from Alexandria via LeMat-Bulk.

Geometry as POSCAR:
```
BiPb2O
1.0
0.0000 3.6961 3.6961
3.6961 0.0000 3.6961
3.6961 3.6961 0.0000
Pb O Bi
2 1 1
Direct
0.7500 0.7500 0.7500
0.2500 0.2500 0.2500
0.0000 0.0000 0.0000
0.5000 0.5000 0.5000
```

## Properties
Total DFT energy (no corrections) = -3.954 eV per atom
Volume = 25.2 A^3/atom
Relative energy among the computed polymorphs = 0.5079 eV per atom
Uncorrected formation energy = 110 meV/atom
Fermi-level density of states = 3.47 states/eV/f.u.

10.
The following is a PBE calculation of an optimized crystal structure of Bi2Pb2O, from Alexandria via LeMat-Bulk.

Geometry as POSCAR:
```
Bi2Pb2O
1.0
-1.8342 6.3886 -0.1509
-5.0879 -1.3649 4.0561
3.6966 1.1802 5.0341
Pb Bi O
4 4 2
Direct
0.8179 0.6821 0.0000
0.1821 0.3179 0.0000
0.3179 0.8179 0.0000
0.6821 0.1821 0.0000
0.2901 0.2099 0.5000
0.7901 0.2901 0.5000
0.7099 0.7901 0.5000
0.2099 0.7099 0.5000
0.0000 0.0000 0.0000
0.5000 0.5000 0.0000
```

## Properties
Total DFT energy (no corrections) = -4.237 eV per atom
Volume = 28.1 A^3/atom
Relative energy among the computed polymorphs = 0.0000 eV per atom
Uncorrected formation energy = -209 meV/atom
Fermi-level density of states = 1.55 states/eV/f.u.

11.
The following is a PBE calculation of an optimized crystal structure of BiPb2O, from Alexandria via LeMat-Bulk.

Geometry as POSCAR:
```
BiPb2O
1.0
6.1625 0.0000 0.0000
0.0000 6.1625 0.0000
3.0812 3.0812 6.6472
O Pb Bi
2 4 2
Direct
0.5000 0.5000 0.0000
0.2500 0.7500 0.5000
0.2302 0.6250 0.2500
0.3750 0.4802 0.7500
0.5198 0.1250 0.2500
0.8750 0.7698 0.7500
0.0000 0.0000 0.0000
0.7500 0.2500 0.5000
```

## Properties
Total DFT energy (no corrections) = -4.312 eV per atom
Volume = 31.6 A^3/atom
Relative energy among the computed polymorphs = 0.1499 eV per atom
Uncorrected formation energy = -248 meV/atom
Fermi-level density of states = 1.96 states/eV/f.u.

12.
The following is a PBE calculation of an optimized crystal structure of Bi6PbO12, from Alexandria via LeMat-Bulk.

Geometry as POSCAR:
```
Bi6PbO12
1.0
-1.3983 -5.8288 -3.2123
4.7266 2.4859 -4.2105
4.0386 -2.3837 4.9250
Bi O Pb
6 12 1
Direct
0.1384 0.5980 0.3003
0.5980 0.3003 0.1384
0.8616 0.4020 0.6997
0.6997 0.8616 0.4020
0.3003 0.1384 0.5980
0.4020 0.6997 0.8616
0.9260 0.0497 0.6848
0.0497 0.6848 0.9260
0.1768 0.4277 0.5671
0.0740 0.9503 0.3152
0.3152 0.0740 0.9503
0.5723 0.4329 0.8232
0.8232 0.5723 0.4329
0.9503 0.3152 0.0740
0.6848 0.9260 0.0497
0.5671 0.1768 0.4277
0.4277 0.5671 0.1768
0.4329 0.8232 0.5723
0.0000 0.0000 0.0000
```

## Properties
Total DFT energy (no corrections) = -5.618 eV per atom
Volume = 15.8 A^3/atom
Uncorrected formation energy = -1066 meV/atom
Fermi-level density of states = 16.69 states/eV/f.u.

Question: The lowest volume belongs to which entry?
Answer: Bi6PbO12

Question: The highest volume belongs to which entry?
Answer: number 11

Copy entry 3 word for word.
The following is a PBE calculation of an optimized crystal structure of Bi2Pb2O5, from Alexandria via LeMat-Bulk.

Geometry as POSCAR:
```
Bi2Pb2O5
1.0
-1.0676 -0.4997 6.3175
-2.1968 -6.0213 -0.8475
8.9311 0.4553 -1.7234
Bi O Pb
4 10 4
Direct
0.3731 0.9090 0.7574
0.1157 0.6515 0.2426
0.8843 0.4090 0.7574
0.6269 0.1515 0.2426
0.5612 0.2078 0.7036
0.0917 0.1594 0.8337
0.3576 0.0042 0.2964
0.9083 0.3257 0.1663
0.7580 0.8257 0.1663
0.2420 0.6594 0.8337
0.8692 0.2577 0.5000
0.1308 0.7577 0.5000
0.4388 0.5042 0.2964
0.6424 0.7078 0.7036
0.0000 0.0021 0.0000
0.7142 0.8186 0.5000
0.5000 0.5021 0.0000
0.2858 0.3186 0.5000
```

## Properties
Total DFT energy (no corrections) = -5.497 eV per atom
Volume = 18.2 A^3/atom
Uncorrected formation energy = -1056 meV/atom

Question: total DFT energy (no corrections) of number 11 (BiPb2O)?
Answer: -4.312 eV per atom